# 1
# Ca2Cu5Pd5 (PBE, relaxed)
# **Energy of formation**: -0.368 eV/atom
data_Ca2Cu5Pd5
_chemical_formula_sum 'Ca2 Cu5 Pd5'
_space_group_name_H-M_alt 'P 1'
_space_group_IT_number 1
_space_group_name_Hall 'P 1'
_cell_length_a 4.344
_cell_length_b 5.130
_cell_length_c 9.056
_cell_angle_alpha 90.00
_cell_angle_beta 90.00
_cell_angle_gamma 90.00
loop_
_atom_site_label
_atom_site_type_symbol
_atom_site_fract_x
_atom_site_fract_y
_atom_site_fract_z
_atom_site_occupancy
Ca1 Ca 0.000 0.000 0.000 1
Ca2 Ca 0.000 0.500 0.500 1
Cu1 Cu 0.500 0.000 0.500 1
Cu2 Cu 0.500 0.249 0.256 1
Cu3 Cu 0.500 0.249 0.744 1
Cu4 Cu 0.500 0.751 0.256 1
Cu5 Cu 0.500 0.751 0.744 1
Pd1 Pd 0.000 0.000 0.336 1
Pd2 Pd 0.000 0.000 0.664 1
Pd3 Pd 0.000 0.500 0.179 1
Pd4 Pd 0.000 0.500 0.821 1
Pd5 Pd 0.500 0.500 0.000 1


# 2
# SiP2SI (PBE, relaxed)
# **Formation energy from raw total energies**: 8.11 eV per formula unit
data_SiP2SI
_chemical_formula_sum 'Si1 P2 S1 I1'
_space_group_name_H-M_alt 'P 1'
_space_group_IT_number 1
_space_group_name_Hall 'P 1'
_cell_length_a 5.136
_cell_length_b 5.136
_cell_length_c 4.995
_cell_angle_alpha 90.00
_cell_angle_beta 90.00
_cell_angle_gamma 90.00
loop_
_atom_site_label
_atom_site_type_symbol
_atom_site_fract_x
_atom_site_fract_y
_atom_site_fract_z
_atom_site_occupancy
Si1 Si 0.000 0.000 0.000 1
P1 P 0.000 0.500 0.500 1
P2 P 0.500 0.000 0.500 1
S1 S 0.500 0.500 0.000 1
I1 I 0.500 0.500 0.500 1


# 3
# Er3Co8Ni (PBE, relaxed)
# **Energy of formation**: -0.155 eV/atom
data_Er3Co8Ni
_chemical_formula_sum 'Er3 Co8 Ni1'
_space_group_name_H-M_alt 'P 1'
_space_group_IT_number 1
_space_group_name_Hall 'P 1'
_cell_length_a 8.561
_cell_length_b 8.561
_cell_length_c 8.561
_cell_angle_alpha 33.63
_cell_angle_beta 33.63
_cell_angle_gamma 33.63
loop_
_atom_site_label
_atom_site_type_symbol
_atom_site_fract_x
_atom_site_fract_y
_atom_site_fract_z
_atom_site_occupancy
Er1 Er 0.000 0.000 0.000 1
Er2 Er 0.130 0.130 0.130 1
Er3 Er 0.615 0.615 0.615 1
Co1 Co 0.061 0.061 0.559 1
Co2 Co 0.061 0.559 0.061 1
Co3 Co 0.067 0.563 0.563 1
Co4 Co 0.312 0.312 0.312 1
Co5 Co 0.559 0.061 0.061 1
Co6 Co 0.563 0.067 0.563 1
Co7 Co 0.563 0.563 0.067 1
Co8 Co 0.812 0.812 0.812 1
Ni1 Ni 0.493 0.493 0.493 1


# 4
# K2TiPd (PBE, relaxed)
# **Energy of formation**: 0.598 eV/atom
data_K2TiPd
_chemical_formula_sum 'K8 Ti4 Pd4'
_space_group_name_H-M_alt 'P 1'
_space_group_IT_number 1
_space_group_name_Hall 'P 1'
_cell_length_a 12.210
_cell_length_b 12.210
_cell_length_c 4.880
_cell_angle_alpha 90.00
_cell_angle_beta 90.00
_cell_angle_gamma 90.00
loop_
_atom_site_label
_atom_site_type_symbol
_atom_site_fract_x
_atom_site_fract_y
_atom_site_fract_z
_atom_site_occupancy
K1 K 0.095 0.250 0.125 1
K2 K 0.250 0.595 0.375 1
K3 K 0.250 0.905 0.875 1
K4 K 0.405 0.250 0.625 1
K5 K 0.595 0.750 0.625 1
K6 K 0.750 0.095 0.875 1
K7 K 0.750 0.405 0.375 1
K8 K 0.905 0.750 0.125 1
Ti1 Ti 0.000 0.000 0.500 1
Ti2 Ti 0.000 0.500 0.750 1
Ti3 Ti 0.500 0.000 0.250 1
Ti4 Ti 0.500 0.500 0.000 1
Pd1 Pd 0.000 0.000 0.000 1
Pd2 Pd 0.000 0.500 0.250 1
Pd3 Pd 0.500 0.000 0.750 1
Pd4 Pd 0.500 0.500 0.500 1


# 5
# RbCd2HgRh (PBE, relaxed)
# **Energy of formation**: -0.124 eV/atom
data_RbCd2HgRh
_chemical_formula_sum 'Rb1 Cd2 Hg1 Rh1'
_space_group_name_H-M_alt 'P 1'
_space_group_IT_number 1
_space_group_name_Hall 'P 1'
_cell_length_a 5.292
_cell_length_b 5.292
_cell_length_c 5.381
_cell_angle_alpha 90.00
_cell_angle_beta 90.00
_cell_angle_gamma 90.00
loop_
_atom_site_label
_atom_site_type_symbol
_atom_site_fract_x
_atom_site_fract_y
_atom_site_fract_z
_atom_site_occupancy
Rb1 Rb 0.000 0.000 0.000 1
Cd1 Cd 0.000 0.500 0.500 1
Cd2 Cd 0.500 0.000 0.500 1
Hg1 Hg 0.500 0.500 0.000 1
Rh1 Rh 0.500 0.500 0.500 1


# 6
# Pr2HgPd5Au2 (PBE, relaxed)
# **Energy of formation**: -0.566 eV/atom
data_Pr2HgPd5Au2
_chemical_formula_sum 'Pr4 Hg2 Pd10 Au4'
_space_group_name_H-M_alt 'P 1'
_space_group_IT_number 1
_space_group_name_Hall 'P 1'
_cell_length_a 9.837
_cell_length_b 9.837
_cell_length_c 4.179
_cell_angle_alpha 90.00
_cell_angle_beta 90.00
_cell_angle_gamma 90.00
loop_
_atom_site_label
_atom_site_type_symbol
_atom_site_fract_x
_atom_site_fract_y
_atom_site_fract_z
_atom_site_occupancy
Pr1 Pr 0.175 0.325 0.000 1
Pr2 Pr 0.325 0.825 0.000 1
Pr3 Pr 0.675 0.175 0.000 1
Pr4 Pr 0.825 0.675 0.000 1
Hg1 Hg 0.000 0.000 0.000 1
Hg2 Hg 0.500 0.500 0.000 1
Pd1 Pd 0.000 0.500 0.500 1
Pd2 Pd 0.065 0.799 0.500 1
Pd3 Pd 0.201 0.065 0.500 1
Pd4 Pd 0.299 0.565 0.500 1
Pd5 Pd 0.435 0.299 0.500 1
Pd6 Pd 0.500 0.000 0.500 1
Pd7 Pd 0.565 0.701 0.500 1
Pd8 Pd 0.701 0.435 0.500 1
Pd9 Pd 0.799 0.935 0.500 1
Pd10 Pd 0.935 0.201 0.500 1
Au1 Au 0.122 0.622 0.000 1
Au2 Au 0.378 0.122 0.000 1
Au3 Au 0.622 0.878 0.000 1
Au4 Au 0.878 0.378 0.000 1


| no. | final energy (eV for the cell shown) | DOS(E_F) (states/eV/cell) | total moment (μB per cell) |
| --- | --- | --- | --- |
| 1 | -54.87 | 5.6 | 0.00 |
| 2 | -13.81 | 5.5 | 0.00 |
| 3 | -78.17 | 16.2 | 10.21 |
| 4 | -51.56 | 16.0 | 9.74 |
| 5 | -11.07 | 2.4 | 0.00 |
| 6 | -96.08 | 6.8 | 0.00 |